CrSeBr2F after structural relaxation. Source: the Alexandria database, functional GGA+U.

Calculated values
- E: -3.3376 eV/atom
- Excess energy over the best structure of this formula in the dataset: 0.0 meV per atom

The structure in CIF format:
```
data_CrSeBr2F
_chemical_formula_sum 'Cr1 Se1 Br2 F1'
_cell_length_a 5.028
_cell_length_b 5.028
_cell_length_c 5.176
_cell_angle_alpha 90.00
_cell_angle_beta 90.00
_cell_angle_gamma 90.00
_symmetry_space_group_name_H-M 'P 4/m m m'
_symmetry_Int_Tables_number 123
_symmetry_space_group_name_Hall '-P 4 2'
loop_
_atom_site_label
_atom_site_fract_x
_atom_site_fract_y
_atom_site_fract_z
_atom_site_occupancy
Cr1 0.000 0.000 0.000 1
Se1 0.000 0.000 0.500 1
Br1 0.000 0.500 0.000 1
F1 0.500 0.500 0.500 1
```